Crystalline Al5Zn at its relaxed geometry, computed with PBE.

Energy of formation = 0.44 eV/f.u.
SG = Cmcm, No. 63
Final energy = -3.26 eV/atom
Crystal system = orthorhombic
Relative energy among the computed polymorphs = 66 meV/atom

Cell: 2.815 5.866 12.714 Å, 90.00 90.00 103.88°
Fractional positions:
Al  0.697  0.394  0.920
Al  0.303  0.606  0.080
Al  0.095  0.190  0.750
Al  0.905  0.810  0.250
Al  0.445  0.890  0.903
Al  0.555  0.110  0.097
Al  0.555  0.110  0.403
Al  0.445  0.890  0.597
Al  0.697  0.394  0.580
Al  0.303  0.606  0.420
Zn  0.165  0.330  0.250
Zn  0.835  0.670  0.750